Entry from Alexandria: a relaxed LuSnPd crystal (PBE).

```
3
Lattice="-1.906 1.906 4.553 1.906 -1.906 4.553 1.906 1.906 -4.553" Properties=species:S:1:pos:R:3 pbc="T T T"
Lu 0.000 0.000 0.000
Sn 0.000 0.000 2.929
Pd 0.000 0.000 5.848
```

Properties
E_tot   -15.48 eV for the cell shown
Theoretical density   10.04 g/cm³
Total magnetization   0.00 μB per cell
Symmetry   I4mm (107)
Energy relative to the elements   -587 meV/atom